Entry 1:
DFT (PBE) results for a relaxed NaHfNi2Cl crystal.

Lattice parameters (Å, degrees): 4.304 4.304 4.696 90.00 90.00 90.00
Element x y z (fractional)
1 Na 0.000 0.000 0.000
2 Hf 0.500 0.500 0.000
3 Ni 0.000 0.500 0.500
4 Ni 0.500 0.000 0.500
5 Cl 0.500 0.500 0.500

Results
Energy above the most stable polymorph in this dataset = 0.268 eV/atom
Uncorrected formation energy = 0.508 eV/atom
Theoretical density = 6763 kg/m3
Magnetization = 0.0000 μB/atom
E_tot = -4.428 eV per atom

---

Entry 2:
DFT (PBE) results for a relaxed ThMgSb crystal.

Lattice parameters (Å, degrees): 4.838 4.838 3.970 90.00 90.00 120.00
Element x y z (fractional)
1 Th 0.000 0.000 0.000
2 Mg 0.333 0.667 0.500
3 Sb 0.667 0.333 0.500

Results
Energy above the most stable polymorph in this dataset = 0.000 eV/atom
Uncorrected formation energy = -0.379 eV/atom
Theoretical density = 7802 kg/m3
Magnetization = 0.0001 μB/atom
E_tot = -4.758 eV per atom

---

The lowest uncorrected formation energy belongs to which entry?
ThMgSb

---

Which formula does entry 2 have?
ThMgSb